No. 1
MgPtO: optimized geometry, PBE.

Output
raw total energy: -33.7 eV/cell
symmetry: No. 156
uncorrected formation energy: -1.424 eV/atom

a b c (Å): 2.9495 2.9494 9.9527
angles (deg): 89.99 90.00 60.00
Last column: nearest neighbours and their distance in Å.
Fractional positions:
Mg 0.0036 0.1861 0.5347  3 O 1.96
Mg 0.6706 0.8527 0.7876  3 O 2.03
Pt 0.6703 0.8532 0.2366  1 O 2.00
Pt 0.0038 0.1867 0.0109  3 Mg 2.80, 9 Pt 2.82-2.95
O 0.3371 0.5196 0.6762  6 Mg 2.03-2.21
O 0.6702 0.8529 0.4373  3 Mg 1.96, 1 Pt 2.00

No. 2
MgPtO3: optimized geometry, PBE.

Output
raw total energy: -25.3 eV/cell
symmetry: No. 221
uncorrected formation energy: -0.548 eV/atom

a b c (Å): 3.9238 3.9238 3.9238
angles (deg): 90.00 90.00 90.00
Last column: nearest neighbours and their distance in Å.
Fractional positions:
Mg 0.5000 0.5000 0.5000  12 O 2.77
O 0.0000 0.5000 0.0000  2 Pt 1.96
O 0.0000 0.0000 0.5000  2 Pt 1.96
O 0.5000 0.0000 0.0000  2 Pt 1.96
Pt 0.0000 0.0000 0.0000  6 O 1.96

No. 3
MgPtO: optimized geometry, PBE.

Output
raw total energy: -31.8 eV/cell
symmetry: No. 1
uncorrected formation energy: -1.101 eV/atom

a b c (Å): 5.7654 2.9582 6.3200
angles (deg): 110.58 118.96 99.00
Last column: nearest neighbours and their distance in Å.
Fractional positions:
Mg 0.7083 0.8530 0.2295  3 O 2.00-2.21
Mg 0.6066 0.4474 0.7094  3 O 2.02-2.05
Pt 0.1093 0.6841 0.7544  2 O 2.31-2.55
Pt 0.1821 0.5064 0.1585  2 O 2.12-2.21
O 0.6413 0.1437 0.9636  4 Mg 2.00-2.05
O 0.1753 0.2252 0.4220  2 Mg 2.05-2.21, 2 Pt 2.12-2.21

No. 4
MgPtO: optimized geometry, PBE.

Output
raw total energy: -32.6 eV/cell
symmetry: No. 12
uncorrected formation energy: -1.231 eV/atom

a b c (Å): 5.7059 2.9836 5.7693
angles (deg): 75.04 96.23 74.86
Last column: nearest neighbours and their distance in Å.
Fractional positions:
Mg 0.7462 0.9630 0.4195  3 O 1.99-2.04
Mg 0.9996 0.1207 0.8519  3 O 1.99-2.04
Pt 0.5074 0.7853 0.0145  1 O 2.04
Pt 0.2384 0.2987 0.2571  1 O 2.04
O 0.7568 0.7743 0.7875  3 Mg 1.99-2.04, 1 Pt 2.04
O 0.9891 0.3096 0.4841  3 Mg 1.99-2.04, 1 Pt 2.04

No. 5
MgPtO3: optimized geometry, PBE.

Output
raw total energy: -26.8 eV/cell
symmetry: No. 174
uncorrected formation energy: -0.860 eV/atom

a b c (Å): 2.9285 5.3084 5.3074
angles (deg): 59.98 90.01 90.00
Last column: nearest neighbours and their distance in Å.
Fractional positions:
Mg 0.2199 0.4328 0.3952  6 O 2.17
Pt 0.2202 0.0995 0.0622  6 O 2.07
O 0.7202 0.2761 0.7442  2 Pt 2.07, 2 Mg 2.17
O 0.7202 0.2408 0.2388  2 Pt 2.07, 2 Mg 2.17
O 0.7202 0.7815 0.2038  2 Pt 2.07, 2 Mg 2.17

No. 6
MgPt2O6: optimized geometry, PBE.

Output
raw total energy: -51.2 eV/cell
symmetry: No. 162
uncorrected formation energy: -0.865 eV/atom

a b c (Å): 4.3975 5.2117 5.2117
angles (deg): 120.00 90.00 90.00
Last column: nearest neighbours and their distance in Å.
Fractional positions:
Mg 0.0000 0.0000 0.0000  6 O 2.14
Pt 0.5000 0.6667 0.3333  6 O 2.01
Pt 0.5000 0.3333 0.6667  6 O 2.01
O 0.7421 0.6521 0.6521  2 Pt 2.01, 1 Mg 2.14
O 0.2579 0.6521 0.0000  2 Pt 2.01, 1 Mg 2.14
O 0.2579 0.0000 0.6521  2 Pt 2.01, 1 Mg 2.14
O 0.7421 0.3479 0.0000  2 Pt 2.01, 1 Mg 2.14
O 0.2579 0.3479 0.3479  2 Pt 2.01, 1 Mg 2.14
O 0.7421 0.0000 0.3479  2 Pt 2.01, 1 Mg 2.14

Please write out number 5 again, unchanged.
MgPtO3: optimized geometry, PBE.

Output
raw total energy: -26.8 eV/cell
symmetry: No. 174
uncorrected formation energy: -0.860 eV/atom

a b c (Å): 2.9285 5.3084 5.3074
angles (deg): 59.98 90.01 90.00
Last column: nearest neighbours and their distance in Å.
Fractional positions:
Mg 0.2199 0.4328 0.3952  6 O 2.17
Pt 0.2202 0.0995 0.0622  6 O 2.07
O 0.7202 0.2761 0.7442  2 Pt 2.07, 2 Mg 2.17
O 0.7202 0.2408 0.2388  2 Pt 2.07, 2 Mg 2.17
O 0.7202 0.7815 0.2038  2 Pt 2.07, 2 Mg 2.17

raw total energy of number 3 (MgPtO)? -31.8 eV/cell

Which formula does entry 4 have? MgPtO